[1]
First-principles (PBE-GGA) data for a geometry-optimized CuNiSe4 structure, as listed in Alexandria.

It has space group F-43m (No. 216), with a = 7.900 Å, b = 7.900 Å, c = 7.900 Å, α = 90.00°, β = 90.00° and γ = 90.00°. The asymmetric unit holds Cu at (0.000, 0.000, 0.000), Ni at (0.250, 0.250, 0.750) and Se at (0.125, 0.125, 0.375).

The value obtained for the uncorrected formation energy is 0.95 eV per atom. The calculation puts the total moment at 1.134 μB per formula unit. As for the crystal system: cubic.

[2]
First-principles (PBE-GGA) data for a geometry-optimized SrGaH8Ir2 structure, as listed in Alexandria.

It has space group C2/m (No. 12), with a = 9.138 Å, b = 3.972 Å, c = 8.188 Å, α = 90.00°, β = 115.41° and γ = 90.00°. The asymmetric unit holds Sr at (0.000, 0.000, 0.000), Ga at (0.000, 0.000, 0.500), H at (0.130, 0.369, 0.330), H at (0.142, 0.500, 0.926), H at (0.241, 0.500, 0.716) and Ir at (0.055, 0.500, 0.701).

The calculation puts the total moment at 0.000 μB per formula unit. As for the crystal system: monoclinic. Its uncorrected energy is -0.158 Ha/atom.

[3]
First-principles (PBE-GGA) data for a geometry-optimized H3PbF structure, as listed in Alexandria.

It has space group Pm-3m (No. 221), with a = 3.727 Å, b = 3.727 Å, c = 3.727 Å, α = 90.00°, β = 90.00° and γ = 90.00°. The asymmetric unit holds H at (0.000, 0.000, 0.500), Pb at (0.500, 0.500, 0.500) and F at (0.000, 0.000, 0.000).

The calculation puts the total moment at 0.000 μB per formula unit. The value obtained for the excess energy over the best structure of this formula in the dataset is 537.6 meV per atom. As for the crystal system: cubic.

[4]
First-principles (PBE-GGA) data for a geometry-optimized Sr2CaMg structure, as listed in Alexandria.

It has space group I-42d (No. 122), with a = 9.905 Å, b = 9.905 Å, c = 7.392 Å, α = 90.00°, β = 90.00° and γ = 90.00°. The asymmetric unit holds Sr at (0.211, 0.250, 0.125), Ca at (0.000, 0.000, 0.500) and Mg at (0.000, 0.000, 0.000).

The calculation puts the total moment at 0.000 μB per formula unit. As for the crystal system: tetragonal. Its uncorrected energy is -0.056 Ha/atom.

[5]
First-principles (PBE-GGA) data for a geometry-optimized TbPm5Tm2Th structure, as listed in Alexandria.

It has space group Cmc2_1 (No. 36), with a = 5.632 Å, b = 20.392 Å, c = 10.578 Å, α = 90.00°, β = 90.00° and γ = 90.00°. The asymmetric unit holds Tb at (0.000, 0.093, 0.000), Pm at (0.000, 0.020, 0.289), Pm at (0.000, 0.113, 0.571), Pm at (0.000, 0.207, 0.249), Pm at (0.000, 0.223, 0.857), Pm at (0.000, 0.486, 0.565), Tm at (0.000, 0.385, 0.857), Tm at (0.000, 0.388, 0.284) and Th at (0.000, 0.301, 0.557).

The calculation puts the total moment at 0.000 μB per formula unit. As for the crystal system: orthorhombic. Its uncorrected energy is -0.177 Ha/atom.

[6]
First-principles (PBE-GGA) data for a geometry-optimized ZrZn2Fe structure, as listed in Alexandria.

It has space group P2/m (No. 10), with a = 2.803 Å, b = 3.684 Å, c = 6.036 Å, α = 90.00°, β = 90.09° and γ = 90.00°. The asymmetric unit holds Zr at (0.000, 0.000, 0.000), Zn at (0.500, 0.500, 0.290) and Fe at (0.000, 0.000, 0.500).

The calculation puts the total moment at 2.167 μB per formula unit. As for the crystal system: monoclinic. Its uncorrected energy is -0.182 Ha/atom.

[7]
First-principles (PBE-GGA) data for a geometry-optimized PuNpScOs structure, as listed in Alexandria.

It has space group F-43m (No. 216), with a = 6.834 Å, b = 6.834 Å, c = 6.834 Å, α = 90.00°, β = 90.00° and γ = 90.00°. The asymmetric unit holds Pu at (0.000, 0.000, 0.000), Np at (0.250, 0.250, 0.750), Sc at (0.250, 0.250, 0.250) and Os at (0.000, 0.000, 0.500).

The calculation puts the total moment at 9.251 μB per formula unit. As for the crystal system: cubic. Its uncorrected energy is -0.409 Ha/atom.

[8]
First-principles (PBE-GGA) data for a geometry-optimized Li3As structure, as listed in Alexandria.

It has space group Pm-3m (No. 221), with a = 3.953 Å, b = 3.953 Å, c = 3.953 Å, α = 90.00°, β = 90.00° and γ = 90.00°. The asymmetric unit holds Li at (0.000, 0.000, 0.500) and As at (0.500, 0.500, 0.500).

The calculation puts the total moment at 0.291 μB per formula unit. As for the crystal system: cubic. Its uncorrected energy is -0.113 Ha/atom.

[9]
First-principles (PBE-GGA) data for a geometry-optimized LiPdPt structure, as listed in Alexandria.

It has space group C2/m (No. 12), with a = 12.063 Å, b = 2.732 Å, c = 5.464 Å, α = 90.00°, β = 103.36° and γ = 90.00°. The asymmetric unit holds Li at (0.161, 0.000, 0.326), Pd at (0.000, 0.500, 0.000), Pd at (0.000, 0.500, 0.500) and Pt at (0.169, 0.000, 0.830).

The calculation puts the total moment at 0.000 μB per formula unit. The value obtained for the excess energy over the best structure of this formula in the dataset is 0.0 meV per atom. As for the crystal system: monoclinic.

[10]
First-principles (PBE-GGA) data for a geometry-optimized DyY2Ir structure, as listed in Alexandria.

It has space group Pnma (No. 62), with a = 7.239 Å, b = 9.314 Å, c = 6.425 Å, α = 90.00°, β = 90.00° and γ = 90.00°. The asymmetric unit holds Dy at (0.036, 0.250, 0.134), Y at (0.176, 0.063, 0.675) and Ir at (0.117, 0.750, 0.458).

The calculation puts the total moment at 0.000 μB per formula unit. The value obtained for the excess energy over the best structure of this formula in the dataset is 0.0 meV per atom. As for the crystal system: orthorhombic.

[11]
First-principles (PBE-GGA) data for a geometry-optimized HoVSb3 structure, as listed in Alexandria.

It has space group Pbcm (No. 57), with a = 12.716 Å, b = 6.308 Å, c = 5.942 Å, α = 90.00°, β = 90.00° and γ = 90.00°. The asymmetric unit holds Ho at (0.188, 0.003, 0.250), V at (0.399, 0.750, 0.000), Sb at (0.002, 0.750, 0.000), Sb at (0.272, 0.008, 0.750) and Sb at (0.434, 0.104, 0.250).

The value obtained for the uncorrected formation energy is -0.49 eV per atom. The calculation puts the total moment at 0.483 μB per formula unit. As for the crystal system: orthorhombic.

[12]
First-principles (PBE-GGA) data for a geometry-optimized LiIn2Cu2Au5 structure, as listed in Alexandria.

It has space group P4/mbm (No. 127), with a = 9.343 Å, b = 9.343 Å, c = 4.151 Å, α = 90.00°, β = 90.00° and γ = 90.00°. The asymmetric unit holds Li at (0.000, 0.000, 0.000), In at (0.172, 0.328, 0.000), Cu at (0.123, 0.623, 0.000), Au at (0.000, 0.500, 0.500) and Au at (0.086, 0.807, 0.500).

The calculation puts the total moment at 0.000 μB per formula unit. As for the crystal system: tetragonal. Its uncorrected energy is -0.124 Ha/atom.

[13]
First-principles (PBE-GGA) data for a geometry-optimized TlSbOs2 structure, as listed in Alexandria.

It has space group C2/m (No. 12), with a = 8.636 Å, b = 3.110 Å, c = 5.730 Å, α = 90.00°, β = 101.39° and γ = 90.00°. The asymmetric unit holds Tl at (0.000, 0.000, 0.000), Sb at (0.000, 0.500, 0.500) and Os at (0.249, 0.000, 0.704).

The value obtained for the uncorrected formation energy is 0.84 eV per atom. The calculation puts the total moment at 0.000 μB per formula unit. The value obtained for the excess energy over the best structure of this formula in the dataset is 376.9 meV per atom. As for the crystal system: monoclinic.

[14]
First-principles (PBE-GGA) data for a geometry-optimized PmPrOsRh structure, as listed in Alexandria.

It has space group F-43m (No. 216), with a = 7.067 Å, b = 7.067 Å, c = 7.067 Å, α = 90.00°, β = 90.00° and γ = 90.00°. The asymmetric unit holds Pm at (0.000, 0.000, 0.000), Pr at (0.000, 0.000, 0.500), Os at (0.250, 0.250, 0.250) and Rh at (0.250, 0.250, 0.750).

The calculation puts the total moment at 0.000 μB per formula unit. As for the crystal system: cubic. Its uncorrected energy is -0.265 Ha/atom.

[15]
First-principles (PBE-GGA) data for a geometry-optimized HfTl2PbSe4 structure, as listed in Alexandria.

It has space group P2/m (No. 10), with a = 7.425 Å, b = 4.100 Å, c = 7.969 Å, α = 90.00°, β = 106.32° and γ = 90.00°. The asymmetric unit holds Hf at (0.000, 0.000, 0.000), Tl at (0.000, 0.500, 0.500), Tl at (0.500, 0.000, 0.500), Pb at (0.500, 0.500, 0.000), Se at (0.205, 0.500, 0.197) and Se at (0.228, 0.000, 0.792).

The value obtained for the uncorrected formation energy is -0.78 eV per atom. The calculation puts the total moment at 0.000 μB per formula unit. The value obtained for the excess energy over the best structure of this formula in the dataset is 41.3 meV per atom. As for the crystal system: monoclinic.

[16]
First-principles (PBE-GGA) data for a geometry-optimized Ac5La3Nd3 structure, as listed in Alexandria.

It has space group P-62m (No. 189), with a = 11.9375 Å, b = 11.9375 Å, c = 3.6918 Å, α = 90.00°, β = 90.00° and γ = 120.00°. The asymmetric unit holds Ac at (0.0000, 0.6589, 0.0000), Ac at (0.3333, 0.6667, 0.0000), La at (0.0000, 0.3907, 0.5000) and Nd at (0.0000, 0.1577, 0.0000).

The calculation puts the total moment at 0.000 μB per formula unit. As for the crystal system: hexagonal. Its uncorrected energy is -0.156 Ha/atom.

[17]
First-principles (PBE-GGA) data for a geometry-optimized KBeW3 structure, as listed in Alexandria.

It has space group Pm-3m (No. 221), with a = 4.497 Å, b = 4.497 Å, c = 4.497 Å, α = 90.00°, β = 90.00° and γ = 90.00°. The asymmetric unit holds K at (0.000, 0.000, 0.000), Be at (0.500, 0.500, 0.500) and W at (0.000, 0.000, 0.500).

The calculation puts the total moment at 0.000 μB per formula unit. The value obtained for the excess energy over the best structure of this formula in the dataset is 1983.2 meV per atom. As for the crystal system: cubic.

[18]
First-principles (PBE-GGA) data for a geometry-optimized MgFePt2 structure, as listed in Alexandria.

It has space group Cm (No. 8), with a = 9.373 Å, b = 2.818 Å, c = 4.656 Å, α = 90.00°, β = 100.33° and γ = 90.00°. The asymmetric unit holds Mg at (0.000, 0.000, 0.000), Fe at (0.265, 0.500, 0.321), Pt at (0.005, 0.500, 0.493) and Pt at (0.252, 0.000, 0.815).

The calculation puts the total moment at 3.303 μB per formula unit. As for the crystal system: monoclinic. Its uncorrected energy is -0.220 Ha/atom.

[19]
First-principles (PBE-GGA) data for a geometry-optimized MnAl2TcPd structure, as listed in Alexandria.

It has space group P4/mmm (No. 123), with a = 4.706 Å, b = 4.706 Å, c = 4.460 Å, α = 90.00°, β = 90.00° and γ = 90.00°. The asymmetric unit holds Mn at (0.000, 0.000, 0.000), Al at (0.000, 0.500, 0.500), Tc at (0.000, 0.000, 0.500) and Pd at (0.500, 0.500, 0.000).

The calculation puts the total moment at 3.118 μB per formula unit. As for the crystal system: tetragonal. Its uncorrected energy is -0.215 Ha/atom.

[20]
First-principles (PBE-GGA) data for a geometry-optimized GaSn3B structure, as listed in Alexandria.

It has space group Pm-3m (No. 221), with a = 4.873 Å, b = 4.873 Å, c = 4.873 Å, α = 90.00°, β = 90.00° and γ = 90.00°. The asymmetric unit holds Ga at (0.000, 0.000, 0.000), Sn at (0.000, 0.500, 0.500) and B at (0.500, 0.500, 0.500).

The calculation puts the total moment at 0.000 μB per formula unit. The value obtained for the excess energy over the best structure of this formula in the dataset is 0.0 meV per atom. As for the crystal system: cubic.